A | ! Sm5Hg2Ru, optimized geometry, DFT PBE; values from VASP
! crystal system: orthorhombic
&SYSTEM
  ibrav = 0, nat = 16, ntyp = 3
/
ATOMIC_SPECIES
Sm 150.36 Sm.upf
Hg 200.59 Hg.upf
Ru 101.07 Ru.upf
CELL_PARAMETERS angstrom
5.620 0.000 0.000
-2.810 7.947 0.000
0.000 0.000 12.495
ATOMIC_POSITIONS angstrom
Sm 0.000 4.799 9.371
Sm 0.000 1.124 4.957
Hg 2.810 5.976 1.651
Sm 2.810 6.823 7.538
Sm 2.810 3.148 3.124
Sm 0.000 4.903 5.270
Hg 0.000 1.971 10.844
Sm 2.810 3.044 11.517
Hg 0.000 1.971 7.899
Sm 2.810 6.823 11.205
Sm 0.000 1.124 1.290
Ru 0.000 3.060 3.124
Sm 2.810 3.044 7.225
Sm 0.000 4.903 0.978
Hg 2.810 5.976 4.596
Ru 2.810 4.887 9.371



B | ! Sm5Hg2Ru, optimized geometry, DFT PBE; values from VASP
! crystal system: orthorhombic
&SYSTEM
  ibrav = 0, nat = 16, ntyp = 3
/
ATOMIC_SPECIES
Sm 150.36 Sm.upf
Ru 101.07 Ru.upf
Hg 200.59 Hg.upf
CELL_PARAMETERS angstrom
-0.647 -0.785 4.731
7.424 -2.286 0.636
3.287 11.322 2.327
ATOMIC_POSITIONS angstrom
Sm 1.265 0.072 2.660
Sm 7.003 0.337 1.014
Ru 0.000 0.000 0.000
Hg 5.602 8.083 4.582
Sm 3.605 2.563 0.918
Sm 7.106 6.473 2.045
Sm 3.952 5.412 3.913
Hg 8.754 5.013 4.504
Hg 4.462 0.168 3.113
Sm 6.112 2.839 3.782
Sm 3.712 -1.143 0.318
Sm 1.644 5.661 1.164
Hg 1.309 3.238 3.191
Ru 5.356 4.518 1.482
Sm 3.708 8.699 1.950
Sm 8.798 8.179 5.035



Which structure wins on stability? B wins.



A | ! Sm4Hg2Ru, optimized geometry, DFT PBE; values from VASP
! crystal system: monoclinic
&SYSTEM
  ibrav = 0, nat = 7, ntyp = 3
/
ATOMIC_SPECIES
Sm 150.36 Sm.upf
Hg 200.59 Hg.upf
Ru 101.07 Ru.upf
CELL_PARAMETERS angstrom
4.421 0.000 1.338
1.960 5.565 1.496
-0.001 -0.008 7.975
ATOMIC_POSITIONS angstrom
Sm 5.663 4.407 5.205
Hg 2.784 3.480 6.745
Sm 4.377 4.014 9.453
Ru 0.000 0.000 0.000
Sm 0.716 1.149 5.605
Sm 2.002 1.543 1.356
Hg 3.595 2.077 4.064



B | ! Sm4Hg2Ru, optimized geometry, DFT PBE; values from VASP
! crystal system: monoclinic
&SYSTEM
  ibrav = 0, nat = 14, ntyp = 3
/
ATOMIC_SPECIES
Hg 200.59 Hg.upf
Sm 150.36 Sm.upf
Ru 101.07 Ru.upf
CELL_PARAMETERS angstrom
-0.753 -4.575 3.813
6.483 -1.038 0.033
1.425 9.067 5.292
ATOMIC_POSITIONS angstrom
Hg 4.410 -3.521 2.525
Sm 0.738 4.536 5.791
Sm 3.257 -0.577 3.332
Sm 1.050 -3.691 4.079
Sm 6.417 -1.083 3.348
Hg 5.112 0.967 5.773
Hg 2.043 2.487 3.366
Hg 2.746 6.975 6.614
Ru 5.031 0.316 1.389
Sm 5.368 2.466 2.836
Sm 6.106 7.144 5.060
Ru 2.125 3.137 7.750
Sm 1.788 0.988 6.303
Sm 3.899 4.030 5.807



Which structure wins on stability? A wins.



A | ! Sm4HgRu2, optimized geometry, DFT PBE; values from VASP
! crystal system: orthorhombic
&SYSTEM
  ibrav = 0, nat = 14, ntyp = 3
/
ATOMIC_SPECIES
Sm 150.36 Sm.upf
Ru 101.07 Ru.upf
Hg 200.59 Hg.upf
CELL_PARAMETERS angstrom
-1.336 -4.991 -0.052
2.967 1.844 3.806
-12.380 3.228 8.087
ATOMIC_POSITIONS angstrom
Sm -0.842 1.516 5.187
Ru -7.561 -2.043 5.124
Sm 0.816 -1.573 1.877
Sm -9.906 -1.434 6.654
Ru -3.187 2.125 6.717
Sm -5.314 -2.624 3.661
Sm -5.374 0.041 5.921
Hg -8.472 0.843 7.939
Ru 1.500 0.903 3.655
Ru -12.248 -0.821 8.186
Sm -5.434 2.706 8.181
Hg -2.275 -0.760 3.902
Sm -8.638 3.542 10.274
Sm -2.110 -3.460 1.568



B | ! Sm4HgRu2, optimized geometry, DFT PBE; values from VASP
! crystal system: triclinic
&SYSTEM
  ibrav = 0, nat = 14, ntyp = 3
/
ATOMIC_SPECIES
Sm 150.36 Sm.upf
Ru 101.07 Ru.upf
Hg 200.59 Hg.upf
CELL_PARAMETERS angstrom
7.942 -0.102 0.343
-0.536 7.370 -1.226
-3.322 -4.688 7.102
ATOMIC_POSITIONS angstrom
Sm 0.542 -2.702 5.583
Sm 6.198 -0.339 1.003
Sm 2.100 3.181 1.610
Ru 3.494 5.647 1.436
Sm 4.319 1.042 3.887
Sm -0.532 0.806 5.746
Hg -2.103 -4.067 6.892
Sm 4.453 -2.023 5.442
Ru 3.715 1.041 1.161
Sm 1.432 -0.572 2.746
Sm 5.641 3.771 1.250
Ru -1.267 -0.931 3.661
Hg -0.560 1.921 2.774
Ru 2.148 -0.297 5.507



Which structure wins on stability? B wins.



A | ! Sm7Hg2Ru2, optimized geometry, DFT PBE; values from VASP
! crystal system: orthorhombic
&SYSTEM
  ibrav = 0, nat = 11, ntyp = 3
/
ATOMIC_SPECIES
Hg 200.59 Hg.upf
Ru 101.07 Ru.upf
Sm 150.36 Sm.upf
CELL_PARAMETERS angstrom
-6.579 0.527 1.924
-1.692 -5.630 -4.245
3.197 -4.247 4.359
ATOMIC_POSITIONS angstrom
Hg -3.618 -5.864 3.027
Ru 0.317 -2.841 3.641
Sm 1.171 -3.547 1.106
Sm -4.553 -3.942 -2.209
Sm -2.972 -6.124 -0.074
Sm -2.101 -3.226 2.112
Ru -5.391 -6.509 -1.603
Sm -0.520 -5.408 4.247
Sm -6.244 -5.803 0.932
Sm 0.000 0.000 0.000
Hg -1.456 -3.486 -0.989



B | ! Sm7Hg2Ru2, optimized geometry, DFT PBE; values from VASP
! crystal system: orthorhombic
&SYSTEM
  ibrav = 0, nat = 11, ntyp = 3
/
ATOMIC_SPECIES
Ru 101.07 Ru.upf
Sm 150.36 Sm.upf
Hg 200.59 Hg.upf
CELL_PARAMETERS angstrom
-3.014 -0.041 -2.460
-7.455 -1.376 6.080
-5.180 7.598 3.144
ATOMIC_POSITIONS angstrom
Ru -4.062 0.646 1.890
Sm -4.319 4.323 2.143
Hg -7.486 4.423 2.946
Sm -10.671 5.955 6.822
Sm -6.796 1.373 2.151
Sm -9.309 3.008 5.202
Sm -10.236 6.173 3.209
Hg -6.907 0.786 5.373
Sm -6.746 7.341 1.992
Sm -4.537 1.963 -0.626
Ru -12.020 3.824 5.435



Which structure wins on stability? B wins.



A | ! Sm3Hg2Ru, optimized geometry, DFT PBE; values from VASP
! crystal system: monoclinic
&SYSTEM
  ibrav = 0, nat = 12, ntyp = 3
/
ATOMIC_SPECIES
Hg 200.59 Hg.upf
Ru 101.07 Ru.upf
Sm 150.36 Sm.upf
CELL_PARAMETERS angstrom
5.181 0.006 0.021
2.600 7.680 0.011
-0.031 0.000 7.592
ATOMIC_POSITIONS angstrom
Hg -0.016 0.000 3.796
Hg 5.164 5.145 3.817
Ru 2.590 2.534 0.011
Hg 2.586 2.541 3.807
Sm 2.588 5.006 1.720
Sm 2.571 5.006 5.893
Hg 0.000 0.000 0.000
Sm 5.179 2.680 1.731
Sm 2.583 0.003 1.784
Ru 5.160 5.151 7.613
Sm 2.567 0.003 5.830
Sm 5.162 2.680 5.904



B | ! Sm3Hg2Ru, optimized geometry, DFT PBE; values from VASP
! crystal system: monoclinic
&SYSTEM
  ibrav = 0, nat = 12, ntyp = 3
/
ATOMIC_SPECIES
Hg 200.59 Hg.upf
Sm 150.36 Sm.upf
Ru 101.07 Ru.upf
CELL_PARAMETERS angstrom
5.388 0.000 0.000
0.000 7.075 -0.837
-2.694 -2.546 8.611
ATOMIC_POSITIONS angstrom
Hg 2.693 2.159 2.978
Sm 2.701 1.769 -0.209
Hg -0.001 -1.167 5.215
Ru 5.381 5.306 -0.628
Sm 0.000 0.269 2.239
Sm 2.694 0.723 5.954
Sm 2.694 4.260 5.535
Sm 0.000 3.806 1.821
Hg 0.001 2.370 4.797
Sm 2.687 5.306 -0.628
Hg 2.694 5.696 2.560
Ru 0.007 1.769 -0.209



Which structure wins on stability? A wins.



A | ! Sm6Hg2Ru, optimized geometry, DFT PBE; values from VASP
! crystal system: orthorhombic
&SYSTEM
  ibrav = 0, nat = 9, ntyp = 3
/
ATOMIC_SPECIES
Hg 200.59 Hg.upf
Sm 150.36 Sm.upf
Ru 101.07 Ru.upf
CELL_PARAMETERS angstrom
-1.666 -0.572 -3.454
6.993 3.003 -3.870
-0.569 -8.618 1.702
ATOMIC_POSITIONS angstrom
Hg 4.522 -0.805 -2.048
Sm -0.053 -2.144 0.381
Sm 1.571 0.675 -0.869
Sm 1.804 -2.469 -2.637
Sm -1.083 -5.452 -0.751
Sm 4.888 -4.154 -1.669
Ru 5.887 2.600 -5.446
Hg 2.033 -4.754 -0.193
Sm 3.363 1.516 -4.049



B | ! Sm6Hg2Ru, optimized geometry, DFT PBE; values from VASP
! crystal system: monoclinic
&SYSTEM
  ibrav = 0, nat = 18, ntyp = 3
/
ATOMIC_SPECIES
Sm 150.36 Sm.upf
Hg 200.59 Hg.upf
Ru 101.07 Ru.upf
CELL_PARAMETERS angstrom
-1.286 6.359 -2.919
-6.876 -2.236 -1.840
-3.576 3.469 9.146
ATOMIC_POSITIONS angstrom
Sm -5.590 7.272 6.291
Hg -6.744 7.823 3.310
Sm -8.852 4.301 -2.152
Sm -3.977 2.092 2.958
Sm -9.215 6.927 5.027
Sm -7.555 1.762 1.707
Sm -6.670 3.938 4.770
Sm -2.523 0.665 -0.640
Sm -7.761 5.501 1.428
Sm -6.148 0.321 -1.904
Hg -4.994 -0.230 1.077
Hg -9.617 3.971 3.603
Sm -5.067 3.655 -0.383
Sm -2.886 3.291 6.539
Hg -2.121 3.621 0.783
Ru -4.081 2.062 -2.380
Ru -1.788 1.735 4.573
Sm -4.182 5.830 2.680



Which structure wins on stability? A wins.